24
Lattice="5.302 -3.062 0.000 5.302 3.062 0.000 -3.557 0.000 15.026" Properties=species:S:1:pos:R:3 comment="Y2Lu4Bi3N3 PBE relaxed" final_energy_ev_per_atom=-6.788 pbc="T T T"
Bi 2.586 0.532 3.743
Bi 4.413 -2.622 3.757
Bi 6.240 0.532 3.770
Bi 0.808 -0.532 11.256
Bi 2.635 2.622 11.270
Bi 4.461 -0.532 11.283
Lu 7.939 -0.499 1.223
Lu 0.883 -0.532 1.223
Lu 7.943 -0.532 6.290
Lu 0.888 -0.499 6.290
Lu 6.160 0.499 8.736
Lu -0.895 0.532 8.736
Lu 6.165 0.532 13.803
Lu -0.891 0.499 13.803
N 2.651 -1.531 0.000
N 6.229 -1.601 0.000
N 4.376 1.601 0.000
N 4.450 1.601 7.513
N 0.873 1.531 7.513
N 2.597 -1.601 7.513
Y 4.438 -0.501 1.306
Y 4.388 -0.501 6.207
Y 2.660 0.501 8.820
Y 2.609 0.501 13.720